CaAc2I after structural relaxation. Source: the Alexandria database, functional PBE-GGA.

Lattice parameters (Å, degrees): 3.915 3.915 38.967 90.00 90.00 120.00
Fractional coordinates of all 12 atoms:
Ca 0.000 0.000 0.000
Ca 0.333 0.667 0.667
Ca 0.667 0.333 0.333
Ac 0.000 0.000 0.097
Ac 0.000 0.000 0.903
Ac 0.333 0.667 0.570
Ac 0.333 0.667 0.763
Ac 0.667 0.333 0.237
Ac 0.667 0.333 0.430
I 0.000 0.000 0.500
I 0.333 0.667 0.167
I 0.667 0.333 0.833

- Total energy: -3.199 eV per atom
- Density: 5.98 Mg/m³
- Total magnetization: 0.0 μB/f.u.
- Formation energy without anion corrections: -1.028 eV/f.u.
- SG: R-3m
- D(E_F): 1.469 states/eV/atom